Below is a relaxed CoPRu2 crystal, with properties calculated at the PBE level. Values from VASP.

Geometry as Quantum ESPRESSO input:
```
&SYSTEM
  ibrav = 0, nat = 4, ntyp = 3
/
ATOMIC_SPECIES
Co 58.93 Co.upf
P 30.97 P.upf
Ru 101.07 Ru.upf
ATOMIC_POSITIONS crystal
Co 0.000 0.000 0.000
P 0.000 0.000 0.500
Ru 0.362 0.500 0.739
Ru 0.638 0.500 0.261
CELL_PARAMETERS angstrom
2.812 0.000 0.000
0.000 3.692 0.000
-1.166 0.000 4.959
```

Properties
Its symmetry is P2/m, No. 10. As for the crystal system: monoclinic. The raw total energy comes out at -31.40 eV for the cell shown. The calculation puts the density of states at the Fermi level at 3.90 states/eV/cell.


Below is a relaxed In3NiP crystal, with properties calculated at the PBE level. Values from VASP.

Geometry as Quantum ESPRESSO input:
```
&SYSTEM
  ibrav = 0, nat = 5, ntyp = 3
/
ATOMIC_SPECIES
In 114.82 In.upf
Ni 58.69 Ni.upf
P 30.97 P.upf
ATOMIC_POSITIONS crystal
In 0.000 0.000 0.500
In 0.000 0.500 0.000
In 0.500 0.000 0.000
Ni 0.500 0.500 0.500
P 0.000 0.000 0.000
CELL_PARAMETERS angstrom
5.152 0.000 0.000
0.000 5.152 0.000
0.000 0.000 5.152
```

Properties
Its symmetry is Pm-3m, No. 221. As for the crystal system: cubic. The raw total energy comes out at -15.56 eV for the cell shown. For the energy above the lowest structure with this stoichiometry, the calculation gives 496 meV per atom. The calculation puts the density of states at the Fermi level at 3.64 states/eV/cell.


Formation enthalpy at 0 K per entry: -0.0837 0.7695 eV per atom